No. 1
Sm7HoEr12 | PBE | optimized geometry

Cell and atoms, written as CIF:
```
data_Sm7HoEr12
_chemical_formula_sum 'Sm21 Ho3 Er36'
_cell_length_a 11.8880
_cell_length_b 11.8880
_cell_length_c 16.1349
_cell_angle_alpha 90.00
_cell_angle_beta 90.00
_cell_angle_gamma 120.00
_space_group_name_H-M_alt 'R -3'
_space_group_IT_number 148
_space_group_name_Hall '-R 3'
loop_
_atom_site_label
_atom_site_type_symbol
_atom_site_fract_x
_atom_site_fract_y
_atom_site_fract_z
Sm1 Sm 0.0000 0.0000 0.0000
Sm2 Sm 0.0549 0.1891 0.2904
Ho1 Ho 0.0000 0.0000 0.5000
Er1 Er 0.0239 0.4493 0.2211
Er2 Er 0.0510 0.5861 0.5831
```

* total magnetization: 0.0 μB/f.u.
* Fermi-level density of states: 1.784 states/eV/atom
* electronic total energy: -4.38 eV/atom

***

No. 2
Tm2ZrAg | PBE | optimized geometry

Cell and atoms, written as CIF:
```
data_Tm2ZrAg
_chemical_formula_sum 'Tm2 Zr1 Ag1'
_cell_length_a 3.400
_cell_length_b 3.400
_cell_length_c 8.526
_cell_angle_alpha 90.00
_cell_angle_beta 90.00
_cell_angle_gamma 90.00
_space_group_name_H-M_alt 'P 4/m m m'
_space_group_IT_number 123
_space_group_name_Hall '-P 4 2'
loop_
_atom_site_label
_atom_site_type_symbol
_atom_site_fract_x
_atom_site_fract_y
_atom_site_fract_z
Tm1 Tm 0.000 0.000 0.234
Zr1 Zr 0.500 0.500 0.500
Ag1 Ag 0.500 0.500 0.000
```

* total magnetization: 0.0 μB/f.u.
* Fermi-level density of states: 0.971 states/eV/atom
* electronic total energy: -5.23 eV/atom

***

No. 3
LaTaRu | PBE | optimized geometry

Cell and atoms, written as CIF:
```
data_LaTaRu
_chemical_formula_sum 'La2 Ta2 Ru2'
_cell_length_a 4.529
_cell_length_b 4.529
_cell_length_c 6.857
_cell_angle_alpha 90.00
_cell_angle_beta 90.00
_cell_angle_gamma 90.00
_space_group_name_H-M_alt 'P 4/n m m'
_space_group_IT_number 129
loop_
_space_group_symop_operation_xyz
'x,y,z'
'-x,-y,-z'
'-y+1/2,x,z'
'y+1/2,-x,-z'
'-x+1/2,-y+1/2,z'
'x+1/2,y+1/2,-z'
'y,-x+1/2,z'
'-y,x+1/2,-z'
'x+1/2,-y,-z'
'-x+1/2,y,z'
'-y,-x,-z'
'y,x,z'
'-x,y+1/2,-z'
'x,-y+1/2,z'
'y+1/2,x+1/2,-z'
'-y+1/2,-x+1/2,z'
loop_
_atom_site_label
_atom_site_type_symbol
_atom_site_fract_x
_atom_site_fract_y
_atom_site_fract_z
La1 La 0.250 0.250 0.137
Ta1 Ta 0.250 0.750 0.500
Ru1 Ru 0.250 0.250 0.685
```

* total magnetization: 0.0 μB/f.u.
* Fermi-level density of states: 1.121 states/eV/atom
* electronic total energy: -8.90 eV/atom

***

Q: Which of these has the highest Fermi-level density of states?
A: Sm7HoEr12